DFT (PBE-GGA) results for an optimized crystal structure of Li2Co2H5.

Values from the calculation:
The value obtained for the mass density is 3.54 g/cm3. For the total magnetization, the calculation gives 0.16 μB/atom. The calculation puts the total DFT energy (no corrections) at -3.95 eV/atom.

a b c (Å): 2.6926 5.4777 4.8692
angles (deg): 111.97 90.00 104.23
With the nearest neighbours (Å) after each atom.
Positions (direct):
Li 0.4096 0.8192 0.6219  7 H 1.97-2.18
Li 0.5904 0.1808 0.3781  7 H 1.97-2.18
Co 0.1488 0.2977 0.9593  4 H 1.53-1.69
Co 0.8512 0.7023 0.0407  4 H 1.53-1.69
H 0.2800 0.5600 0.8261  3 Co 1.69-1.75
H 0.7200 0.4400 0.1739  3 Co 1.69-1.75
H 0.0478 0.0956 0.6348  1 H 1.31
H 0.9522 0.9044 0.3652  1 H 1.31
H 0.0000 0.0000 0.0000  2 Co 1.67